# 1
Crystalline Ce6ZrN8 at its relaxed geometry, computed with GGA-PBE.

```
data_Ce6ZrN8
_space_group_name_H-M_alt 'P 1'
_space_group_IT_number 1
_cell_length_a 7.0236
_cell_length_b 7.0236
_cell_length_c 7.0236
_cell_angle_alpha 60.00
_cell_angle_beta 60.00
_cell_angle_gamma 60.00
loop_
_space_group_symop_operation_xyz
'x,y,z'
loop_
_atom_site_label
_atom_site_type_symbol
_atom_site_fract_x
_atom_site_fract_y
_atom_site_fract_z
Ce1 Ce 0.0000 0.0000 0.5000
Ce2 Ce 0.0000 0.5000 0.0000
Ce3 Ce 0.0000 0.5000 0.5000
Ce4 Ce 0.5000 0.0000 0.0000
Ce5 Ce 0.5000 0.0000 0.5000
Ce6 Ce 0.5000 0.5000 0.0000
Zr1 Zr 0.0000 0.0000 0.0000
N1 N 0.2261 0.2261 0.7739
N2 N 0.2261 0.7739 0.2261
N3 N 0.2261 0.7739 0.7739
N4 N 0.2500 0.2500 0.2500
N5 N 0.7500 0.7500 0.7500
N6 N 0.7739 0.2261 0.2261
N7 N 0.7739 0.2261 0.7739
N8 N 0.7739 0.7739 0.2261
```

Output
- Crystal system: cubic
- Space-group type: Fm-3m

# 2
Crystalline CeZr2N at its relaxed geometry, computed with GGA-PBE.

```
data_CeZr2N
_space_group_name_H-M_alt 'P 1'
_space_group_IT_number 1
_cell_length_a 9.0534
_cell_length_b 9.0534
_cell_length_c 9.0534
_cell_angle_alpha 20.45
_cell_angle_beta 20.45
_cell_angle_gamma 20.45
loop_
_space_group_symop_operation_xyz
'x,y,z'
loop_
_atom_site_label
_atom_site_type_symbol
_atom_site_fract_x
_atom_site_fract_y
_atom_site_fract_z
Ce1 Ce 0.0000 0.0000 0.0000
Zr1 Zr 0.1184 0.1184 0.1184
Zr2 Zr 0.8816 0.8816 0.8816
N1 N 0.5000 0.5000 0.5000
```

Output
- Crystal system: trigonal
- Energy relative to the lowest polymorph listed for this composition: 8.7 kJ/mol of atoms
- Space-group type: R-3m

# 3
Crystalline Ce3ZrN4 at its relaxed geometry, computed with GGA-PBE.

```
data_Ce3ZrN4
_space_group_name_H-M_alt 'P 1'
_space_group_IT_number 1
_cell_length_a 11.7293
_cell_length_b 11.7293
_cell_length_c 11.7293
_cell_angle_alpha 16.96
_cell_angle_beta 16.96
_cell_angle_gamma 16.96
loop_
_space_group_symop_operation_xyz
'x,y,z'
loop_
_atom_site_label
_atom_site_type_symbol
_atom_site_fract_x
_atom_site_fract_y
_atom_site_fract_z
Ce1 Ce 0.0000 0.0000 0.0000
Ce2 Ce 0.2473 0.2473 0.2473
Ce3 Ce 0.7527 0.7527 0.7527
Zr1 Zr 0.5000 0.5000 0.5000
N1 N 0.1308 0.1308 0.1308
N2 N 0.3771 0.3771 0.3771
N3 N 0.6229 0.6229 0.6229
N4 N 0.8692 0.8692 0.8692
```

Output
- Crystal system: trigonal
- Space-group type: R-3m

Number 1: formation energy (no corrections) -1.39 eV/atom, DFT total energy -8.77 eV per atom. Number 2: formation energy (no corrections) -0.68 eV/atom, DFT total energy -8.52 eV per atom. Number 3: formation energy (no corrections) -1.55 eV/atom, DFT total energy -9.01 eV per atom.